! LaCd2Te2, relaxed, DFT PBE; values from VASP
! Formation energy (no corrections) = -0.520 eV/atom
! DOS(E_F) = 3.8 states/eV/f.u.
! Offset from the most stable computed form = 0.672 eV/f.u.
&SYSTEM
  ibrav = 0, nat = 5, ntyp = 3
/
ATOMIC_SPECIES
Te 127.60 Te.upf
Cd 112.41 Cd.upf
La 138.91 La.upf
ATOMIC_POSITIONS crystal
Te 0.7500 0.2500 0.5000
Cd 0.6426 0.6426 0.7148
Cd 0.3574 0.3574 0.2852
Te 0.2500 0.7500 0.5000
La 0.0000 0.0000 0.0000
CELL_PARAMETERS angstrom
-1.5208 -5.3858 -1.0804
3.6841 -0.1685 -4.3458
4.4410 -4.3090 0.1942

=====

! Co2HPdRu, relaxed, DFT PBE; values from VASP
! DOS(E_F) = 5.4 states/eV/f.u.
! Offset from the most stable computed form = 0.000 eV/f.u.
&SYSTEM
  ibrav = 0, nat = 5, ntyp = 4
/
ATOMIC_SPECIES
Pd 106.42 Pd.upf
Co 58.93 Co.upf
Ru 101.07 Ru.upf
H 1.01 H.upf
ATOMIC_POSITIONS crystal
Pd 0.5000 0.5000 0.5000
Co 0.0000 0.5000 0.0000
Ru 0.0000 0.0000 0.5000
H 0.0000 0.0000 0.0000
Co 0.5000 0.0000 0.0000
CELL_PARAMETERS angstrom
3.8099 0.0000 0.0000
0.0000 3.8099 0.0000
0.0000 0.0000 3.7338

=====

! AlCo2, relaxed, DFT PBE; values from VASP
! DOS(E_F) = 4.0 states/eV/f.u.
! Formation energy = -140 meV/atom
&SYSTEM
  ibrav = 0, nat = 6, ntyp = 2
/
ATOMIC_SPECIES
Co 58.93 Co.upf
Al 26.98 Al.upf
ATOMIC_POSITIONS crystal
Co 0.1250 0.1250 0.6250
Al 0.5000 0.5000 0.5000
Co 0.1250 0.6250 0.1250
Al 0.7500 0.7500 0.7500
Co 0.1250 0.1250 0.1250
Co 0.6250 0.1250 0.1250
CELL_PARAMETERS angstrom
0.0000 3.3165 3.3165
3.3165 0.0000 3.3165
3.3165 3.3165 0.0000